Ac2USe5 | PBE | optimized geometry

Energy relative to the lowest polymorph listed for this composition, eV per atom: 0.000
Size of the total moment, μB/f.u.: 2.0
Fermi-level density of states, states/eV/f.u.: 9.7
Raw formation energy, eV per atom: -1.741

The structure in extended XYZ format:
```
32
Lattice="12.7630 0.0000 0.0000 0.0000 8.8058 0.0000 0.0000 0.0000 8.0807" Properties=species:S:1:pos:R:3 pbc="T T T"
Ac 2.2242 0.0147 0.3202
Ac 2.2242 4.3882 0.3202
Ac 4.1574 4.4176 4.3606
Ac 4.1574 8.7911 4.3606
Ac 8.6057 0.0147 3.7202
Ac 8.6057 4.3882 3.7202
Ac 10.5389 4.4176 7.7605
Ac 10.5389 8.7911 7.7605
U 0.0781 2.2014 4.5394
U 6.3034 6.6043 0.4990
U 6.4596 2.2014 7.5817
U 12.6850 6.6043 3.5414
Se 0.0299 2.2014 7.6515
Se 1.0987 4.7300 5.3983
Se 1.0987 8.4787 5.3983
Se 2.4104 2.2014 2.7785
Se 2.6933 6.6043 2.5958
Se 3.6882 2.2014 6.6361
Se 3.9711 6.6043 6.8188
Se 5.2829 0.3271 1.3579
Se 5.2829 4.0758 1.3579
Se 6.3517 6.6043 3.6111
Se 6.4114 2.2014 4.4696
Se 7.4802 4.7300 6.7228
Se 7.4802 8.4787 6.7228
Se 8.7919 2.2014 1.2619
Se 9.0748 6.6043 1.4446
Se 10.0697 2.2014 5.4850
Se 10.3527 6.6043 5.3023
Se 11.6644 0.3271 2.6825
Se 11.6644 4.0758 2.6825
Se 12.7332 6.6043 0.4293
```

AcU6Se8 | PBE | optimized geometry

Size of the total moment, μB/f.u.: 9.8
Fermi-level density of states, states/eV/f.u.: 10.9
Raw formation energy, eV per atom: -0.937

The structure in extended XYZ format:
```
15
Lattice="5.4843 3.1664 3.9973 -5.4843 3.1664 3.9973 0.0000 -6.3327 3.9973" Properties=species:S:1:pos:R:3 pbc="T T T"
Ac 0.0000 0.0000 0.0000
U -1.9083 -0.7381 5.2329
U -0.3150 -2.0217 6.7590
U -1.5933 1.2836 6.7590
U 1.5933 -1.2836 5.2329
U 0.3150 2.0217 5.2329
U 1.9083 0.7380 6.7590
Se -1.6321 -3.4551 4.5540
Se -3.8082 -0.3141 7.4379
Se 0.0000 0.0000 3.2130
Se -2.1761 3.1410 4.5540
Se 2.1761 -3.1410 7.4379
Se 0.0000 0.0000 8.7789
Se 3.8082 0.3141 4.5540
Se 1.6321 3.4551 7.4379
```

AcU3Se6 | PBE | optimized geometry

Size of the total moment, μB/f.u.: 3.0
Fermi-level density of states, states/eV/f.u.: 15.2
Raw formation energy, eV per atom: -1.315

The structure in extended XYZ format:
```
20
Lattice="11.7346 0.0000 0.0000 0.0000 4.1655 0.0000 -3.8738 0.0000 11.5298" Properties=species:S:1:pos:R:3 pbc="T T T"
Ac -0.1500 1.0414 2.2716
Ac 8.0108 3.1241 9.2582
U -0.4629 1.0414 6.7285
U 3.7594 3.1241 0.0969
U 3.9410 1.0414 3.8751
U 3.9198 3.1241 7.6546
U 4.1014 1.0414 11.4328
U 8.3237 3.1241 4.8013
Se -0.5543 3.1241 4.7102
Se -2.2239 1.0414 11.1532
Se -0.5609 3.1241 8.6550
Se 2.3050 3.1241 2.6894
Se 2.4017 1.0414 6.3398
Se 5.3187 1.0414 1.3722
Se 2.5421 3.1241 10.1575
Se 5.4591 3.1241 5.1900
Se 5.5558 1.0414 8.8404
Se 8.4217 1.0414 2.8747
Se 10.0847 3.1241 0.3766
Se 8.4151 1.0414 6.8195
```

AcUSe | PBE | optimized geometry

Size of the total moment, μB/f.u.: 3.6
Fermi-level density of states, states/eV/f.u.: 7.9
Raw formation energy, eV per atom: -0.350

The structure in extended XYZ format:
```
3
Lattice="-1.8172 1.8172 6.7754 1.8172 -1.8172 6.7754 1.8172 1.8172 -6.7754" Properties=species:S:1:pos:R:3 pbc="T T T"
Ac 0.0000 0.0000 0.0000
U 0.0000 0.0000 3.7946
Se 0.0000 0.0000 8.9830
```

Ac2U3Se8 | PBE | optimized geometry

Energy relative to the lowest polymorph listed for this composition, eV per atom: 0.002
Size of the total moment, μB/f.u.: 8.0
Fermi-level density of states, states/eV/f.u.: 17.5
Raw formation energy, eV per atom: -1.429

The structure in extended XYZ format:
```
13
Lattice="7.6413 -4.2220 0.0000 7.6413 4.2220 0.0000 -2.2978 0.0000 6.7101" Properties=species:S:1:pos:R:3 pbc="T T T"
Ac 3.2151 0.0000 1.1219
Ac 9.7697 0.0000 5.5882
U 6.4924 2.1577 3.3551
U 7.6413 0.0000 0.0000
U 6.4924 -2.1577 3.3551
Se 0.7500 0.0000 2.9518
Se 5.6249 1.9495 0.6097
Se 7.3600 1.9495 6.1004
Se 4.5967 0.0000 3.9416
Se 8.3882 0.0000 2.7685
Se 5.6249 -1.9495 0.6097
Se 7.3600 -1.9495 6.1004
Se 12.2348 0.0000 3.7584
```

Ac2U3Se8 | PBE | optimized geometry

Energy relative to the lowest polymorph listed for this composition, eV per atom: 0.000
Size of the total moment, μB/f.u.: 8.0
Fermi-level density of states, states/eV/f.u.: 19.4
Raw formation energy, eV per atom: -1.431

The structure in extended XYZ format:
```
13
Lattice="5.0246 -7.3692 0.0000 5.0246 7.3692 0.0000 0.0000 0.0000 5.0132" Properties=species:S:1:pos:R:3 pbc="T T T"
Ac 5.0246 3.9019 0.0000
Ac 5.0246 -3.9019 0.0000
U 2.3663 0.0000 2.5066
U 5.0246 0.0000 0.0000
U 7.6829 0.0000 2.5066
Se 5.0246 5.6511 2.5066
Se 2.6433 1.7062 0.0000
Se 2.6433 -1.7062 0.0000
Se 5.0246 1.6288 2.5066
Se 5.0246 -1.6288 2.5066
Se 7.4060 1.7062 0.0000
Se 7.4060 -1.7062 0.0000
Se 5.0246 -5.6511 2.5066
```

AcU2Se5 | PBE | optimized geometry

Size of the total moment, μB/f.u.: 1.0
Fermi-level density of states, states/eV/f.u.: 3.6
Raw formation energy, eV per atom: -1.411

The structure in extended XYZ format:
```
16
Lattice="-3.7728 3.7728 6.9810 3.7728 -3.7728 6.9810 3.7728 3.7728 -6.9810" Properties=species:S:1:pos:R:3 pbc="T T T"
Ac 0.0000 0.0000 3.4905
Ac 0.0000 0.0000 10.4715
U 4.6434 0.8706 0.0000
U 0.8706 2.9022 0.0000
U 2.9022 0.8706 6.9810
U -0.8706 2.9022 6.9810
Se 0.0000 0.0000 0.0000
Se 2.5103 1.2625 -1.9508
Se 2.5103 -1.2625 5.0302
Se 2.5103 1.2625 1.9508
Se 2.5103 -1.2625 8.9318
Se 0.0000 0.0000 6.9810
Se 1.2625 5.0353 -1.9508
Se 1.2625 2.5103 5.0302
Se 1.2625 5.0353 1.9508
Se 1.2625 2.5103 8.9318
```

Ac2USe5 | PBE | optimized geometry

Energy relative to the lowest polymorph listed for this composition, eV per atom: 0.395
Size of the total moment, μB/f.u.: 1.7
Fermi-level density of states, states/eV/f.u.: 3.9
Raw formation energy, eV per atom: -1.345

The structure in extended XYZ format:
```
8
Lattice="-3.7123 3.7123 4.3044 3.7123 -3.7123 4.3044 3.7123 3.7123 -4.3044" Properties=species:S:1:pos:R:3 pbc="T T T"
Ac 3.7123 0.0000 0.0000
Ac 0.0000 3.7123 0.0000
U 0.0000 0.0000 2.2240
Se 1.9247 1.9247 2.0582
Se 1.7876 -1.7876 6.3626
Se 0.0000 0.0000 8.2852
Se -1.7876 1.7876 6.3626
Se 1.7876 1.7876 6.3626
```

AcUSe2 | PBE | optimized geometry

Energy relative to the lowest polymorph listed for this composition, eV per atom: 0.000
Size of the total moment, μB/f.u.: 3.0
Fermi-level density of states, states/eV/f.u.: 7.1
Raw formation energy, eV per atom: -1.372

The structure in extended XYZ format:
```
4
Lattice="2.0768 1.1990 7.3709 -2.0768 1.1990 7.3709 0.0000 -2.3980 7.3709" Properties=species:S:1:pos:R:3 pbc="T T T"
Ac 0.0000 0.0000 0.0000
U 0.0000 0.0000 11.0563
Se 0.0000 0.0000 5.3440
Se 0.0000 0.0000 16.7687
```

Ac5U2Se12 | PBE | optimized geometry

Size of the total moment, μB/f.u.: 3.0
Fermi-level density of states, states/eV/f.u.: 5.0
Raw formation energy, eV per atom: -1.720

The structure in extended XYZ format:
```
19
Lattice="8.4929 -4.0244 0.0000 8.4929 4.0244 0.0000 -2.9615 0.0000 9.4125" Properties=species:S:1:pos:R:3 pbc="T T T"
Ac 0.0000 0.0000 0.0000
Ac 4.6406 0.0000 1.3124
Ac 3.3026 0.0000 6.3283
Ac 10.7217 0.0000 3.0842
Ac 9.3837 0.0000 8.1000
U 7.0122 2.0060 4.7062
U 7.0122 -2.0060 4.7062
Se -0.9100 0.0000 2.9168
Se 14.9343 0.0000 6.4957
Se 4.3903 1.8965 3.9083
Se 3.1941 1.9984 8.7616
Se 10.8302 1.9984 0.6509
Se 9.6340 1.8965 5.5042
Se 7.5656 0.0000 2.7832
Se 6.4588 0.0000 6.6292
Se 4.3903 -1.8965 3.9083
Se 3.1941 -1.9984 8.7616
Se 10.8302 -1.9984 0.6509
Se 9.6340 -1.8965 5.5042
```

AcU4Se8 | PBE | optimized geometry

Size of the total moment, μB/f.u.: 11.0
Fermi-level density of states, states/eV/f.u.: 15.3
Raw formation energy, eV per atom: -1.273

The structure in extended XYZ format:
```
13
Lattice="4.0630 2.3458 7.4485 -4.0630 2.3458 7.4485 0.0000 -4.6916 7.4485" Properties=species:S:1:pos:R:3 pbc="T T T"
Ac 0.0000 0.0000 0.0000
U -4.0630 0.0000 11.1728
U -2.0315 1.1729 3.7243
U 2.0315 1.1729 3.7243
U 0.0000 0.0000 11.1728
Se 0.0000 0.0000 5.3143
Se -2.0213 -1.1670 12.8674
Se 0.0000 -2.3340 9.4781
Se -2.0213 1.1670 9.4781
Se 2.0213 -1.1670 12.8674
Se 0.0000 2.3340 12.8674
Se 2.0213 1.1670 9.4781
Se 0.0000 0.0000 17.0313
```

AcUSe2 | PBE | optimized geometry

Energy relative to the lowest polymorph listed for this composition, eV per atom: 0.231
Size of the total moment, μB/f.u.: 3.7
Fermi-level density of states, states/eV/f.u.: 7.5
Raw formation energy, eV per atom: -1.141

The structure in extended XYZ format:
```
4
Lattice="3.6759 0.0000 0.0000 0.0000 3.6759 0.0000 0.0000 0.0000 7.4746" Properties=species:S:1:pos:R:3 pbc="T T T"
Ac 0.0000 0.0000 0.0000
U 0.0000 0.0000 3.7373
Se 1.8379 1.8379 2.0134
Se 1.8379 1.8379 5.4612
```